Below is a relaxed structure of EuLuHg2, with properties calculated at the PBE-GGA level.

## Properties
Its magnetization is 7.056 μB per formula unit. Its space group is No. 225. The offset from the most stable computed form is 34 meV per atom. As for the energy of formation: -0.47 eV/atom.

abc: 5.322 5.322 5.322
angles: 60.00 60.00 60.00
Atoms (fractional coordinates):
Eu: 0.000 0.000 0.000
Lu: 0.500 0.500 0.500
Hg: 0.250 0.250 0.250
Hg: 0.750 0.750 0.750